Nd3InI3: optimized geometry, GGA-PBE.

Geometry as POSCAR:
```
Nd3InI3
1.0
9.2985 0.0000 0.0000
0.0000 4.4074 0.0000
-4.5482 0.0000 12.7484
Nd In I
6 2 6
direct
0.0478 0.2500 0.3693 Nd
0.3015 0.2500 0.8513 Nd
0.4151 0.7500 0.6165 Nd
0.5849 0.2500 0.3835 Nd
0.6985 0.7500 0.1487 Nd
0.9522 0.7500 0.6307 Nd
0.1830 0.2500 0.6151 In
0.8170 0.7500 0.3849 In
0.0734 0.7500 0.8860 I
0.3084 0.7500 0.3580 I
0.4323 0.2500 0.1207 I
0.5677 0.7500 0.8793 I
0.6916 0.2500 0.6420 I
0.9266 0.2500 0.1140 I
```

Output
**Crystal system**: monoclinic
**Space group**: No. 11
**E_form (uncorrected)**: -0.97 eV/atom